Here is Ga2Ag6Hg after structural relaxation from the Alexandria database. Energies are from PBE.

```
data_Ga2Ag6Hg
_cell_length_a 6.421
_cell_length_b 6.421
_cell_length_c 4.768
_cell_angle_alpha 111.68
_cell_angle_beta 111.68
_cell_angle_gamma 77.54
_space_group_name_H-M_alt 'P 1'
_space_group_IT_number 1
loop_
_space_group_symop_operation_xyz
'x,y,z'
loop_
_atom_site_label
_atom_site_type_symbol
_atom_site_fract_x
_atom_site_fract_y
_atom_site_fract_z
Ga1 Ga 0.172 0.172 0.172
Ga2 Ga 0.828 0.828 0.828
Ag1 Ag 0.007 0.650 0.328
Ag2 Ag 0.292 0.708 0.000
Ag3 Ag 0.350 0.993 0.672
Ag4 Ag 0.650 0.007 0.328
Ag5 Ag 0.708 0.292 0.000
Ag6 Ag 0.993 0.350 0.672
Hg1 Hg 0.500 0.500 0.500
```

Computed properties:
* symmetry: No. 12
* total magnetic moment: 0.00 μB per atom
* V: 169.1 Å³/cell
* offset from the most stable computed form: 7 meV per atom
* calculated formation energy: 0.04 eV/atom
* electronic total energy: -2.562 eV/atom